! PBE-GGA LiCd3, optimized geometry; values from VASP
! Size of the total moment   0.00 μB per formula unit
! Symmetry   P-6m2, No. 187
! Energy   -5.14 eV for the cell shown
! ρ   6.9 g cm⁻³
! ΔH_f (0 K)   -0.119 eV per atom
&SYSTEM
  ibrav = 0, nat = 4, ntyp = 2
/
ATOMIC_SPECIES
Li 6.94 Li.upf
Cd 112.41 Cd.upf
CELL_PARAMETERS angstrom
3.1302 0.0000 0.0000
-1.5651 2.7108 0.0000
0.0000 0.0000 9.7502
ATOMIC_POSITIONS crystal
Li 0.0000 0.0000 0.0000
Cd 0.0000 0.0000 0.5000
Cd 0.3333 0.6667 0.2303
Cd 0.3333 0.6667 0.7697

! PBE-GGA LiCd2, optimized geometry; values from VASP
! Size of the total moment   0.00 μB per formula unit
! Symmetry   Fd-3m, No. 227
! Energy   -8.21 eV for the cell shown
! ρ   5.6 g cm⁻³
! ΔH_f (0 K)   -0.120 eV per atom
&SYSTEM
  ibrav = 0, nat = 6, ntyp = 2
/
ATOMIC_SPECIES
Li 6.94 Li.upf
Cd 112.41 Cd.upf
CELL_PARAMETERS angstrom
0.0000 4.0874 4.0874
4.0874 0.0000 4.0874
4.0874 4.0874 0.0000
ATOMIC_POSITIONS crystal
Li 0.1250 0.1250 0.1250
Li 0.8750 0.8750 0.8750
Cd 0.0000 0.5000 0.5000
Cd 0.5000 0.0000 0.5000
Cd 0.5000 0.5000 0.0000
Cd 0.5000 0.5000 0.5000